The following is a GGA+U calculation of crystalline MnBeAg2F6 at its relaxed geometry, from Alexandria via LeMat-Bulk.

Cell: 5.5228 5.5218 5.5098 Å, 59.93 59.92 59.99°
With the nearest neighbours (Å) after each atom.
Fractional positions:
Mn 0.8161 0.8161 0.5516  6 F 2.15
Be 0.3161 0.3161 0.0517  6 F 1.80
Ag 0.5668 0.5667 0.2997  6 F 2.48-2.77
Ag 0.0656 0.0656 0.8032  6 F 2.48-2.77
F 0.5407 0.1407 0.2818  1 Be 1.80
F 0.1404 0.0371 0.2812  1 Be 1.80
F 0.0367 0.5414 0.2810  1 Be 1.80
F 0.4919 0.5953 0.8218  1 Be 1.80
F 0.5956 0.0909 0.8220  1 Be 1.80
F 0.0917 0.4917 0.8212  1 Be 1.80

Results
Its density of states at the Fermi level is 0.00 states/eV per atom. Its space group is R-3 (148). As for the volume: 118.7 Å³/cell. The total DFT energy (no corrections) comes out at -0.358 Ry per atom. The crystal system is trigonal.